Crystalline Ce2Th3Os2 at its relaxed geometry. Source: the Alexandria database, functional PBE.

Unit cell a=12.018 b=3.860 c=8.621 alpha=90.00 beta=108.81 gamma=90.00
Space group C2/m (No. 12)
One atom of each set of equivalent atoms:
1 Ce 0.164 0.000 0.297 [4 per cell]
2 Th 0.000 0.500 0.500 [2 per cell]
3 Th 0.126 0.500 0.935 [4 per cell]
4 Os 0.163 0.000 0.692 [4 per cell]

- Magnetization: 0.000 μB/f.u.
- Uncorrected energy: -8.288 eV per atom
- DFT formation energy: -1.43 eV per formula unit

=====

Crystalline YHo6ErTm2 at its relaxed geometry. Source: the Alexandria database, functional PBE.

Unit cell a=8.965 b=14.944 c=9.447 alpha=90.00 beta=97.11 gamma=90.00
Space group C2/c (No. 15)
One atom of each set of equivalent atoms:
1 Y 0.000 0.024 0.250 [4 per cell]
2 Ho 0.061 0.187 0.944 [8 per cell]
3 Ho 0.104 0.393 0.119 [8 per cell]
4 Ho 0.206 0.225 0.315 [8 per cell]
5 Er 0.000 0.410 0.750 [4 per cell]
6 Tm 0.248 0.446 0.456 [8 per cell]

- Magnetization: 0.002 μB/f.u.
- Uncorrected energy: -4.625 eV per atom
- DFT formation energy: 1.19 eV per formula unit